[1]
Density functional theory data (PBE) for crystalline Li2LaGaCu at its relaxed geometry.

The structure in CIF format:
```
data_Li2LaGaCu
_cell_length_a 4.719
_cell_length_b 4.719
_cell_length_c 4.639
_cell_angle_alpha 90.00
_cell_angle_beta 90.00
_cell_angle_gamma 90.00
_space_group_name_H-M_alt 'P 1'
_space_group_IT_number 1
loop_
_space_group_symop_operation_xyz
'x,y,z'
loop_
_atom_site_label
_atom_site_fract_x
_atom_site_fract_y
_atom_site_fract_z
Li1 0.000 0.500 0.000
Li2 0.500 0.000 0.000
La1 0.000 0.000 0.500
Ga1 0.500 0.500 0.500
Cu1 0.500 0.500 0.000
```

**Total magnetization**: 0.28 μB/f.u.
**Symmetry**: P4/mmm
**Volume**: 20.7 A^3/atom
**Formation energy**: -109 meV per atom
**Energy**: -3.28 eV per atom


[2]
Density functional theory data (PBE) for crystalline LaLuGaCu at its relaxed geometry.

The structure in CIF format:
```
data_LaLuGaCu
_cell_length_a 7.213
_cell_length_b 7.213
_cell_length_c 7.213
_cell_angle_alpha 90.00
_cell_angle_beta 90.00
_cell_angle_gamma 90.00
_space_group_name_H-M_alt 'P 1'
_space_group_IT_number 1
loop_
_space_group_symop_operation_xyz
'x,y,z'
loop_
_atom_site_label
_atom_site_fract_x
_atom_site_fract_y
_atom_site_fract_z
La1 0.000 0.000 0.000
La2 0.000 0.500 0.500
La3 0.500 0.000 0.500
La4 0.500 0.500 0.000
Lu1 0.000 0.000 0.500
Lu2 0.000 0.500 0.000
Lu3 0.500 0.000 0.000
Lu4 0.500 0.500 0.500
Ga1 0.250 0.250 0.750
Ga2 0.250 0.750 0.250
Ga3 0.750 0.250 0.250
Ga4 0.750 0.750 0.750
Cu1 0.250 0.250 0.250
Cu2 0.250 0.750 0.750
Cu3 0.750 0.250 0.750
Cu4 0.750 0.750 0.250
```

**Total magnetization**: 0.00 μB/f.u.
**Symmetry**: F-43m
**Volume**: 23.5 A^3/atom
**Formation energy**: -365 meV per atom
**Energy**: -4.51 eV per atom


[3]
Density functional theory data (PBE) for crystalline LaMg2GaCu2 at its relaxed geometry.

The structure in CIF format:
```
data_LaMg2GaCu2
_cell_length_a 4.958
_cell_length_b 4.958
_cell_length_c 10.891
_cell_angle_alpha 90.00
_cell_angle_beta 90.00
_cell_angle_gamma 90.00
_space_group_name_H-M_alt 'P 1'
_space_group_IT_number 1
loop_
_space_group_symop_operation_xyz
'x,y,z'
loop_
_atom_site_label
_atom_site_fract_x
_atom_site_fract_y
_atom_site_fract_z
La1 0.000 0.000 0.000
La2 0.500 0.500 0.500
Mg1 0.000 0.500 0.250
Mg2 0.000 0.500 0.750
Mg3 0.500 0.000 0.250
Mg4 0.500 0.000 0.750
Ga1 0.000 0.000 0.500
Ga2 0.500 0.500 0.000
Cu1 0.000 0.000 0.287
Cu2 0.000 0.000 0.713
Cu3 0.500 0.500 0.213
Cu4 0.500 0.500 0.787
```

**Total magnetization**: 0.00 μB/f.u.
**Symmetry**: I4/mmm
**Volume**: 22.3 A^3/atom
**Formation energy**: -60 meV per atom
**Energy**: -3.28 eV per atom


[4]
Density functional theory data (PBE) for crystalline LaMg2Ga2Cu at its relaxed geometry.

The structure in CIF format:
```
data_LaMg2Ga2Cu
_cell_length_a 5.120
_cell_length_b 5.120
_cell_length_c 11.242
_cell_angle_alpha 90.00
_cell_angle_beta 90.00
_cell_angle_gamma 90.00
_space_group_name_H-M_alt 'P 1'
_space_group_IT_number 1
loop_
_space_group_symop_operation_xyz
'x,y,z'
loop_
_atom_site_label
_atom_site_fract_x
_atom_site_fract_y
_atom_site_fract_z
La1 0.000 0.000 0.000
La2 0.500 0.500 0.500
Mg1 0.000 0.500 0.250
Mg2 0.000 0.500 0.750
Mg3 0.500 0.000 0.250
Mg4 0.500 0.000 0.750
Ga1 0.000 0.000 0.297
Ga2 0.000 0.000 0.703
Ga3 0.500 0.500 0.203
Ga4 0.500 0.500 0.797
Cu1 0.000 0.000 0.500
Cu2 0.500 0.500 0.000
```

**Total magnetization**: 0.00 μB/f.u.
**Symmetry**: I4/mmm
**Volume**: 24.6 A^3/atom
**Formation energy**: 27 meV per atom
**Energy**: -3.02 eV per atom


[5]
Density functional theory data (PBE) for crystalline La2MgGa3Cu4 at its relaxed geometry.

The structure in CIF format:
```
data_La2MgGa3Cu4
_cell_length_a 4.357
_cell_length_b 4.357
_cell_length_c 10.147
_cell_angle_alpha 90.00
_cell_angle_beta 90.00
_cell_angle_gamma 90.00
_space_group_name_H-M_alt 'P 1'
_space_group_IT_number 1
loop_
_space_group_symop_operation_xyz
'x,y,z'
loop_
_atom_site_label
_atom_site_fract_x
_atom_site_fract_y
_atom_site_fract_z
La1 0.000 0.500 0.234
La2 0.500 0.000 0.766
Mg1 0.000 0.000 0.500
Ga1 0.000 0.500 0.876
Ga2 0.500 0.000 0.124
Ga3 0.500 0.500 0.500
Cu1 0.000 0.000 0.000
Cu2 0.000 0.500 0.636
Cu3 0.500 0.000 0.364
Cu4 0.500 0.500 0.000
```

**Total magnetization**: 0.00 μB/f.u.
**Symmetry**: P-4m2
**Volume**: 19.3 A^3/atom
**Formation energy**: -378 meV per atom
**Energy**: -4.07 eV per atom


[6]
Density functional theory data (PBE) for crystalline LaMnGa4Cu2 at its relaxed geometry.

The structure in CIF format:
```
data_LaMnGa4Cu2
_cell_length_a 9.481
_cell_length_b 9.481
_cell_length_c 9.481
_cell_angle_alpha 25.70
_cell_angle_beta 25.70
_cell_angle_gamma 25.70
_space_group_name_H-M_alt 'P 1'
_space_group_IT_number 1
loop_
_space_group_symop_operation_xyz
'x,y,z'
loop_
_atom_site_label
_atom_site_fract_x
_atom_site_fract_y
_atom_site_fract_z
La1 0.000 0.000 0.000
Mn1 0.500 0.500 0.500
Ga1 0.129 0.129 0.129
Ga2 0.405 0.405 0.405
Ga3 0.595 0.595 0.595
Ga4 0.871 0.871 0.871
Cu1 0.232 0.232 0.232
Cu2 0.768 0.768 0.768
```

**Total magnetization**: 3.27 μB/f.u.
**Symmetry**: R-3m
**Volume**: 17.6 A^3/atom
**Formation energy**: -265 meV per atom
**Energy**: -4.56 eV per atom


[7]
Density functional theory data (PBE) for crystalline La2GaCuN at its relaxed geometry.

The structure in CIF format:
```
data_La2GaCuN
_cell_length_a 6.980
_cell_length_b 3.851
_cell_length_c 8.525
_cell_angle_alpha 90.00
_cell_angle_beta 107.25
_cell_angle_gamma 90.00
_space_group_name_H-M_alt 'P 1'
_space_group_IT_number 1
loop_
_space_group_symop_operation_xyz
'x,y,z'
loop_
_atom_site_label
_atom_site_fract_x
_atom_site_fract_y
_atom_site_fract_z
La1 0.194 0.250 0.380
La2 0.206 0.250 0.960
La3 0.794 0.750 0.040
La4 0.806 0.750 0.620
Ga1 0.321 0.750 0.696
Ga2 0.679 0.250 0.304
Cu1 0.450 0.750 0.242
Cu2 0.550 0.250 0.758
N1 0.150 0.750 0.166
N2 0.850 0.250 0.834
```

**Total magnetization**: 0.00 μB/f.u.
**Symmetry**: P2_1/m
**Distance to the lowest polymorph of the same formula**: 0.000 eV per atom
**Volume**: 21.9 A^3/atom
**E_form (uncorrected)**: -0.699 eV per atom
**Energy**: -5.76 eV per atom


[8]
Density functional theory data (PBE) for crystalline La2GaCuN at its relaxed geometry.

The structure in CIF format:
```
data_La2GaCuN
_cell_length_a 5.212
_cell_length_b 5.212
_cell_length_c 3.881
_cell_angle_alpha 90.00
_cell_angle_beta 90.00
_cell_angle_gamma 90.00
_space_group_name_H-M_alt 'P 1'
_space_group_IT_number 1
loop_
_space_group_symop_operation_xyz
'x,y,z'
loop_
_atom_site_label
_atom_site_fract_x
_atom_site_fract_y
_atom_site_fract_z
La1 0.000 0.500 0.000
La2 0.500 0.000 0.000
Ga1 0.000 0.000 0.500
Cu1 0.500 0.500 0.500
N1 0.500 0.500 0.000
```

**Total magnetization**: 0.00 μB/f.u.
**Symmetry**: P4/mmm
**Distance to the lowest polymorph of the same formula**: 0.080 eV per atom
**Volume**: 21.1 A^3/atom
**E_form (uncorrected)**: -0.620 eV per atom
**Energy**: -5.68 eV per atom


[9]
Density functional theory data (PBE) for crystalline LaNb2GaCu at its relaxed geometry.

The structure in CIF format:
```
data_LaNb2GaCu
_cell_length_a 4.781
_cell_length_b 4.781
_cell_length_c 5.332
_cell_angle_alpha 90.00
_cell_angle_beta 90.00
_cell_angle_gamma 90.00
_space_group_name_H-M_alt 'P 1'
_space_group_IT_number 1
loop_
_space_group_symop_operation_xyz
'x,y,z'
loop_
_atom_site_label
_atom_site_fract_x
_atom_site_fract_y
_atom_site_fract_z
La1 0.000 0.000 0.000
Nb1 0.000 0.500 0.500
Nb2 0.500 0.000 0.500
Ga1 0.500 0.500 0.000
Cu1 0.000 0.000 0.500
```

**Total magnetization**: 0.98 μB/f.u.
**Symmetry**: P4/mmm
**Volume**: 24.4 A^3/atom
**Formation energy**: 817 meV per atom
**Energy**: -5.62 eV per atom


[10]
Density functional theory data (PBE) for crystalline La2NdGa2Cu2 at its relaxed geometry.

The structure in CIF format:
```
data_La2NdGa2Cu2
_cell_length_a 9.782
_cell_length_b 9.782
_cell_length_c 9.782
_cell_angle_alpha 26.37
_cell_angle_beta 26.37
_cell_angle_gamma 26.37
_space_group_name_H-M_alt 'P 1'
_space_group_IT_number 1
loop_
_space_group_symop_operation_xyz
'x,y,z'
loop_
_atom_site_label
_atom_site_fract_x
_atom_site_fract_y
_atom_site_fract_z
La1 0.128 0.128 0.128
La2 0.872 0.872 0.872
Nd1 0.000 0.000 0.000
Ga1 0.266 0.266 0.266
Ga2 0.734 0.734 0.734
Cu1 0.398 0.398 0.398
Cu2 0.602 0.602 0.602
```

**Total magnetization**: 0.00 μB/f.u.
**Symmetry**: R-3m
**Volume**: 23.2 A^3/atom
**Formation energy**: -390 meV per atom
**Energy**: -4.51 eV per atom


[11]
Density functional theory data (PBE) for crystalline LaNd2Ga2Cu2 at its relaxed geometry.

The structure in CIF format:
```
data_LaNd2Ga2Cu2
_cell_length_a 9.855
_cell_length_b 9.855
_cell_length_c 9.855
_cell_angle_alpha 26.37
_cell_angle_beta 26.37
_cell_angle_gamma 26.37
_space_group_name_H-M_alt 'P 1'
_space_group_IT_number 1
loop_
_space_group_symop_operation_xyz
'x,y,z'
loop_
_atom_site_label
_atom_site_fract_x
_atom_site_fract_y
_atom_site_fract_z
La1 0.000 0.000 0.000
Nd1 0.125 0.125 0.125
Nd2 0.875 0.875 0.875
Ga1 0.262 0.262 0.262
Ga2 0.738 0.738 0.738
Cu1 0.402 0.402 0.402
Cu2 0.598 0.598 0.598
```

**Total magnetization**: 0.00 μB/f.u.
**Symmetry**: R-3m
**Volume**: 23.8 A^3/atom
**Formation energy**: -381 meV per atom
**Energy**: -4.48 eV per atom


[12]
Density functional theory data (PBE) for crystalline La2Ga3CuNi4 at its relaxed geometry.

The structure in CIF format:
```
data_La2Ga3CuNi4
_cell_length_a 4.182
_cell_length_b 4.182
_cell_length_c 9.955
_cell_angle_alpha 90.00
_cell_angle_beta 90.00
_cell_angle_gamma 90.00
_space_group_name_H-M_alt 'P 1'
_space_group_IT_number 1
loop_
_space_group_symop_operation_xyz
'x,y,z'
loop_
_atom_site_label
_atom_site_fract_x
_atom_site_fract_y
_atom_site_fract_z
La1 0.000 0.500 0.250
La2 0.500 0.000 0.750
Ga1 0.000 0.000 0.000
Ga2 0.000 0.500 0.621
Ga3 0.500 0.000 0.379
Cu1 0.500 0.500 0.000
Ni1 0.000 0.000 0.500
Ni2 0.000 0.500 0.867
Ni3 0.500 0.000 0.133
Ni4 0.500 0.500 0.500
```

**Total magnetization**: 0.00 μB/f.u.
**Symmetry**: P-4m2
**Volume**: 17.4 A^3/atom
**Formation energy**: -472 meV per atom
**Energy**: -5.09 eV per atom